# LiReSe2

LiReSe2 after structural relaxation (PBE, Alexandria).

Summary:
Formation energy (no corrections): -0.15 eV/atom
Energy above the lowest structure with this stoichiometry: 95 meV/atom
Spin magnetization: 0.00 μB per formula unit
Volume: 189.57 Å³ per cell
Symmetry: I-42d (122)

abc: 7.015 7.015 7.015
angles: 131.51 131.51 71.00
Fractional positions:
Li1 0.000 0.000 0.000
Li2 0.750 0.250 0.500
Re1 0.250 0.750 0.500
Re2 0.500 0.500 0.000
Se1 0.154 0.625 0.029
Se2 0.375 0.404 0.529
Se3 0.596 0.125 0.971
Se4 0.875 0.846 0.471

***

# MgPaTi

MgPaTi after structural relaxation (PBE, Alexandria).

Summary:
Formation energy: 0.527 eV per atom
Energy above the lowest structure with this stoichiometry: 401 meV/atom
Spin magnetization: 0.00 μB per formula unit
Volume: 136.44 Å³ per cell
Symmetry: C2/m (12)

abc: 4.112 4.112 8.185
angles: 96.47 96.47 86.21
Fractional positions:
Mg1 0.241 0.241 0.007
Mg2 0.759 0.759 0.993
Pa1 0.418 0.418 0.645
Pa2 0.582 0.582 0.355
Ti1 0.054 0.054 0.338
Ti2 0.946 0.946 0.662

***

# K2UTlO5

K2UTlO5 after structural relaxation (PBE, Alexandria).

Summary:
Formation energy (no corrections): -2.05 eV/atom
Spin magnetization: 0.57 μB per formula unit
Volume: 174.50 Å³ per cell
Symmetry: Immm (71)

abc: 7.401 7.401 7.401
angles: 145.41 129.97 62.25
Fractional positions:
K1 0.224 0.224 0.000
K2 0.776 0.776 0.000
U1 0.000 0.500 0.500
Tl1 0.500 0.000 0.500
O1 0.000 0.000 0.000
O2 0.103 0.385 0.719
O3 0.334 0.615 0.719
O4 0.666 0.385 0.281
O5 0.897 0.615 0.281

***

# GaAs2Ir

GaAs2Ir after structural relaxation (PBE, Alexandria).

Summary:
Formation energy: -0.039 eV per atom
Spin magnetization: 0.00 μB per formula unit
Volume: 182.80 Å³ per cell
Symmetry: I-42d (122)

abc: 6.856 6.856 6.856
angles: 130.36 130.36 72.84
Fractional positions:
Ga1 0.000 0.000 0.000
Ga2 0.750 0.250 0.500
As1 0.146 0.625 0.021
As2 0.375 0.396 0.521
As3 0.604 0.125 0.979
As4 0.875 0.854 0.479
Ir1 0.250 0.750 0.500
Ir2 0.500 0.500 0.000